## CaBeZn2 (PBE-GGA)

Data for an optimized crystal structure of CaBeZn2.

Summary:
Its space group is Pmmm. Its electronic total energy is -0.0728 hartree per atom. The calculation puts the energy relative to the elements at 0.4 eV/f.u.

abc: 2.988 3.207 7.125
angles: 90.00 90.00 90.00
Sites, in units of the cell vectors:
Ca 0.000 0.000 0.000
Be 0.000 0.000 0.500
Zn 0.500 0.500 0.314
Zn 0.500 0.500 0.686